Entry 1:
A relaxed Ni3Sn5Sb crystal, computed with PBE.

Geometry as CIF:
```
data_Ni3Sn5Sb
_chemical_formula_sum 'Ni6 Sn10 Sb2'
_cell_length_a 6.582
_cell_length_b 3.421
_cell_length_c 17.013
_cell_angle_alpha 90.00
_cell_angle_beta 90.60
_cell_angle_gamma 90.00
_space_group_name_H-M_alt 'P 1 2/m 1'
_space_group_IT_number 10
_space_group_name_Hall '-P 2y'
loop_
_atom_site_label
_atom_site_fract_x
_atom_site_fract_y
_atom_site_fract_z
_atom_site_occupancy
Ni1 0.000 0.000 0.000 1
Ni2 0.005 0.000 0.670 1
Ni3 0.494 0.500 0.831 1
Ni4 0.500 0.500 0.500 1
Sn1 0.151 0.500 0.429 1
Sn2 0.154 0.500 0.099 1
Sn3 0.346 0.000 0.596 1
Sn4 0.350 0.000 0.932 1
Sn5 0.352 0.000 0.265 1
Sb1 0.142 0.500 0.767 1
```

Results
- Energy relative to the lowest polymorph listed for this composition: 0.00 eV per formula unit
- DOS(E_F): 0.481 states/eV/atom
- Calculated total energy: -4.75 eV per atom

***

Entry 2:
A relaxed Ni2Sn2Sb crystal, computed with PBE.

Geometry as CIF:
```
data_Ni2Sn2Sb
_chemical_formula_sum 'Ni4 Sn4 Sb2'
_cell_length_a 4.150
_cell_length_b 4.150
_cell_length_c 11.478
_cell_angle_alpha 90.00
_cell_angle_beta 90.00
_cell_angle_gamma 90.00
_space_group_name_H-M_alt 'I 4/m m m'
_space_group_IT_number 139
_space_group_name_Hall '-I 4 2'
loop_
_atom_site_label
_atom_site_fract_x
_atom_site_fract_y
_atom_site_fract_z
_atom_site_occupancy
Ni1 0.000 0.000 0.107 1
Sn1 0.000 0.500 0.250 1
Sb1 0.000 0.000 0.500 1
```

Results
- Energy relative to the lowest polymorph listed for this composition: 1.44 eV per formula unit
- DOS(E_F): 0.716 states/eV/atom
- Calculated total energy: -4.58 eV per atom

***

Entry 3:
A relaxed NiSnSb crystal, computed with PBE.

Geometry as CIF:
```
data_NiSnSb
_chemical_formula_sum 'Ni2 Sn2 Sb2'
_cell_length_a 3.534
_cell_length_b 5.508
_cell_length_c 6.566
_cell_angle_alpha 90.00
_cell_angle_beta 90.00
_cell_angle_gamma 90.00
_space_group_name_H-M_alt 'P m n 21'
_space_group_IT_number 31
_space_group_name_Hall 'P 2ac -2'
loop_
_atom_site_label
_atom_site_fract_x
_atom_site_fract_y
_atom_site_fract_z
_atom_site_occupancy
Ni1 0.000 0.238 0.000 1
Sn1 0.000 0.458 0.649 1
Sb1 0.000 0.049 0.356 1
```

Results
- DOS(E_F): 0.283 states/eV/atom
- Calculated total energy: -4.81 eV per atom

***

Entry 4:
A relaxed Ni12SnSb3 crystal, computed with PBE.

Geometry as CIF:
```
data_Ni12SnSb3
_chemical_formula_sum 'Ni12 Sn1 Sb3'
_cell_length_a 3.734
_cell_length_b 3.734
_cell_length_c 14.906
_cell_angle_alpha 90.00
_cell_angle_beta 90.00
_cell_angle_gamma 90.00
_space_group_name_H-M_alt 'P 4/m m m'
_space_group_IT_number 123
_space_group_name_Hall '-P 4 2'
loop_
_atom_site_label
_atom_site_fract_x
_atom_site_fract_y
_atom_site_fract_z
_atom_site_occupancy
Ni1 0.000 0.000 0.000 1
Ni2 0.000 0.000 0.249 1
Ni3 0.000 0.000 0.500 1
Ni4 0.000 0.500 0.125 1
Ni5 0.000 0.500 0.374 1
Sn1 0.500 0.500 0.500 1
Sb1 0.500 0.500 0.000 1
Sb2 0.500 0.500 0.250 1
```

Results
- DOS(E_F): 0.629 states/eV/atom
- Calculated total energy: -5.51 eV per atom

***

Entry 5:
A relaxed NiSn3Sb crystal, computed with PBE.

Geometry as CIF:
```
data_NiSn3Sb
_chemical_formula_sum 'Ni1 Sn3 Sb1'
_cell_length_a 5.029
_cell_length_b 5.029
_cell_length_c 5.029
_cell_angle_alpha 90.00
_cell_angle_beta 90.00
_cell_angle_gamma 90.00
_space_group_name_H-M_alt 'P m -3 m'
_space_group_IT_number 221
_space_group_name_Hall '-P 4 2 3'
loop_
_atom_site_label
_atom_site_fract_x
_atom_site_fract_y
_atom_site_fract_z
_atom_site_occupancy
Ni1 0.000 0.000 0.000 1
Sn1 0.000 0.000 0.500 1
Sb1 0.500 0.500 0.500 1
```

Results
- Energy relative to the lowest polymorph listed for this composition: 0.24 eV per formula unit
- DOS(E_F): 0.428 states/eV/atom
- Calculated total energy: -4.35 eV per atom

***

Entry 6:
A relaxed NiSn4Sb2 crystal, computed with PBE.

Geometry as CIF:
```
data_NiSn4Sb2
_chemical_formula_sum 'Ni2 Sn8 Sb4'
_cell_length_a 4.901
_cell_length_b 4.901
_cell_length_c 16.148
_cell_angle_alpha 90.00
_cell_angle_beta 90.00
_cell_angle_gamma 90.00
_space_group_name_H-M_alt 'I 4/m m m'
_space_group_IT_number 139
_space_group_name_Hall '-I 4 2'
loop_
_atom_site_label
_atom_site_fract_x
_atom_site_fract_y
_atom_site_fract_z
_atom_site_occupancy
Ni1 0.000 0.000 0.000 1
Sn1 0.000 0.000 0.164 1
Sn2 0.000 0.500 0.000 1
Sb1 0.000 0.000 0.352 1
```

Results
- DOS(E_F): 0.367 states/eV/atom
- Calculated total energy: -4.20 eV per atom

***

Entry 7:
A relaxed Ni4Sn3Sb9 crystal, computed with PBE.

Geometry as CIF:
```
data_Ni4Sn3Sb9
_chemical_formula_sum 'Ni8 Sn6 Sb18'
_cell_length_a 12.971
_cell_length_b 9.297
_cell_length_c 9.160
_cell_angle_alpha 90.00
_cell_angle_beta 134.87
_cell_angle_gamma 90.00
_space_group_name_H-M_alt 'C 1 m 1'
_space_group_IT_number 8
_space_group_name_Hall 'C -2y'
loop_
_atom_site_label
_atom_site_fract_x
_atom_site_fract_y
_atom_site_fract_z
_atom_site_occupancy
Ni1 0.000 0.247 0.000 1
Ni2 0.498 0.250 0.495 1
Sn1 0.085 0.000 0.493 1
Sn2 0.416 0.000 0.507 1
Sn3 0.416 0.000 0.825 1
Sb1 0.088 0.000 0.179 1
Sb2 0.088 0.164 0.835 1
Sb3 0.248 0.340 0.662 1
Sb4 0.249 0.341 0.331 1
Sb5 0.407 0.163 0.155 1
```

Results
- DOS(E_F): 0.309 states/eV/atom
- Calculated total energy: -4.66 eV per atom

***

Entry 8:
A relaxed Ni3Sn5Sb crystal, computed with PBE.

Geometry as CIF:
```
data_Ni3Sn5Sb
_chemical_formula_sum 'Ni12 Sn20 Sb4'
_cell_length_a 11.276
_cell_length_b 8.615
_cell_length_c 9.343
_cell_angle_alpha 90.00
_cell_angle_beta 115.59
_cell_angle_gamma 90.00
_space_group_name_H-M_alt 'C 1 2/m 1'
_space_group_IT_number 12
_space_group_name_Hall '-C 2y'
loop_
_atom_site_label
_atom_site_fract_x
_atom_site_fract_y
_atom_site_fract_z
_atom_site_occupancy
Ni1 0.000 0.000 0.000 1
Ni2 0.000 0.000 0.500 1
Ni3 0.167 0.500 0.160 1
Ni4 0.167 0.500 0.665 1
Sn1 0.000 0.292 0.500 1
Sn2 0.066 0.500 0.857 1
Sn3 0.168 0.208 0.169 1
Sn4 0.240 0.000 0.534 1
Sb1 0.096 0.000 0.803 1
```

Results
- Energy relative to the lowest polymorph listed for this composition: 0.42 eV per formula unit
- DOS(E_F): 0.449 states/eV/atom
- Calculated total energy: -4.71 eV per atom

***

Entry 9:
A relaxed NiSn2Sb crystal, computed with PBE.

Geometry as CIF:
```
data_NiSn2Sb
_chemical_formula_sum 'Ni4 Sn8 Sb4'
_cell_length_a 5.982
_cell_length_b 5.982
_cell_length_c 13.302
_cell_angle_alpha 90.00
_cell_angle_beta 90.00
_cell_angle_gamma 90.00
_space_group_name_H-M_alt 'I -4 2 d'
_space_group_IT_number 122
_space_group_name_Hall 'I -4 2bw'
loop_
_atom_site_label
_atom_site_fract_x
_atom_site_fract_y
_atom_site_fract_z
_atom_site_occupancy
Ni1 0.000 0.000 0.000 1
Sn1 0.180 0.250 0.125 1
Sb1 0.000 0.000 0.500 1
```

Results
- DOS(E_F): 0.656 states/eV/atom
- Calculated total energy: -4.32 eV per atom

***

Entry 10:
A relaxed Ni2Sn2Sb crystal, computed with PBE.

Geometry as CIF:
```
data_Ni2Sn2Sb
_chemical_formula_sum 'Ni4 Sn4 Sb2'
_cell_length_a 5.260
_cell_length_b 4.045
_cell_length_c 9.175
_cell_angle_alpha 90.00
_cell_angle_beta 95.64
_cell_angle_gamma 90.00
_space_group_name_H-M_alt 'P 1 21/m 1'
_space_group_IT_number 11
_space_group_name_Hall '-P 2yb'
loop_
_atom_site_label
_atom_site_fract_x
_atom_site_fract_y
_atom_site_fract_z
_atom_site_occupancy
Ni1 0.146 0.250 0.469 1
Ni2 0.270 0.250 0.164 1
Sn1 0.268 0.750 0.959 1
Sn2 0.390 0.750 0.613 1
Sb1 0.044 0.750 0.277 1
```

Results
- Energy relative to the lowest polymorph listed for this composition: 0.00 eV per formula unit
- DOS(E_F): 0.429 states/eV/atom
- Calculated total energy: -4.87 eV per atom

***

Entry 11:
A relaxed Sr2Ni4SnSb3 crystal, computed with PBE.

Geometry as CIF:
```
data_Sr2Ni4SnSb3
_chemical_formula_sum 'Sr2 Ni4 Sn1 Sb3'
_cell_length_a 4.505
_cell_length_b 4.505
_cell_length_c 10.361
_cell_angle_alpha 90.00
_cell_angle_beta 90.00
_cell_angle_gamma 90.00
_space_group_name_H-M_alt 'P -4 m 2'
_space_group_IT_number 115
_space_group_name_Hall 'P -4 -2'
loop_
_atom_site_label
_atom_site_fract_x
_atom_site_fract_y
_atom_site_fract_z
_atom_site_occupancy
Sr1 0.000 0.500 0.241 1
Ni1 0.000 0.000 0.000 1
Ni2 0.000 0.500 0.628 1
Ni3 0.500 0.500 0.000 1
Sn1 0.000 0.000 0.500 1
Sb1 0.000 0.500 0.876 1
Sb2 0.500 0.500 0.500 1
```

Results
- DOS(E_F): 0.668 states/eV/atom
- Calculated total energy: -4.81 eV per atom